[1]
Entry from Alexandria via LeMat-Bulk: an optimized crystal structure of Sm4CuGe3 (PBE).

Structure (extended XYZ):
```
8
Lattice="4.306 0.000 0.000 0.000 4.097 0.000 0.000 0.000 11.035" Properties=species:S:1:pos:R:3 pbc="T T T"
Sm 2.153 2.049 3.986
Sm 0.000 2.049 9.529
Sm 0.000 0.000 1.536
Sm 2.153 0.000 7.059
Cu 2.153 2.049 0.743
Ge 0.000 2.049 6.452
Ge 0.000 0.000 4.634
Ge 2.153 0.000 10.201
```

Computed properties:
**Theoretical density**: 7.53 g cm⁻³
**Energy**: -5.295 eV/atom

***

[2]
Entry from Alexandria via LeMat-Bulk: an optimized crystal structure of LiPm2UP4 (PBE).

Structure (extended XYZ):
```
8
Lattice="-1.014 -2.187 3.259 5.919 1.736 3.007 -4.821 4.714 1.663" Properties=species:S:1:pos:R:3 pbc="T T T"
Li 2.452 -0.225 3.133
Pm -2.918 1.263 2.461
Pm 0.549 3.225 2.335
U 0.000 0.000 0.000
P -0.209 0.419 2.737
P 0.292 3.844 5.192
P -2.289 4.034 1.995
P 3.386 2.416 2.675
```

Computed properties:
**Theoretical density**: 5.98 g cm⁻³
**Energy**: -6.576 eV/atom

***

[3]
Entry from Alexandria via LeMat-Bulk: an optimized crystal structure of Ca3Er2PaBi6 (PBE).

Structure (extended XYZ):
```
12
Lattice="7.829 -0.002 0.001 -3.914 6.781 0.001 -1.305 -2.260 7.481" Properties=species:S:1:pos:R:3 pbc="T T T"
Ca -2.591 4.510 3.742
Ca 5.201 0.009 3.742
Ca 1.305 2.260 3.742
Er 0.003 4.518 0.001
Er 3.912 2.261 0.001
Pa 0.000 0.000 0.000
Bi 3.905 2.278 5.711
Bi 2.621 4.539 1.775
Bi -1.295 2.241 1.772
Bi 0.022 4.521 5.711
Bi -0.011 -0.020 5.709
Bi 2.588 -0.002 1.772
```

Computed properties:
**Theoretical density**: 8.11 g cm⁻³
**Energy**: -4.672 eV/atom

***

[4]
Entry from Alexandria via LeMat-Bulk: an optimized crystal structure of B3TeI (PBE).

Structure (extended XYZ):
```
5
Lattice="4.527 0.000 0.000 0.000 4.527 0.000 0.000 0.000 4.527" Properties=species:S:1:pos:R:3 pbc="T T T"
I 0.000 0.000 0.000
B 0.000 2.264 0.000
B 0.000 0.000 2.264
B 2.264 0.000 0.000
Te 2.264 2.264 2.264
```

Computed properties:
**Formation energy (no corrections)**: 2.4219 eV/atom
**Theoretical density**: 5.14 g cm⁻³
**Energy**: -2.523 eV/atom
**Offset from the most stable computed form**: 0.272 eV per atom

***

[5]
Entry from Alexandria via LeMat-Bulk: an optimized crystal structure of Tl2CdH (PBE).

Structure (extended XYZ):
```
8
Lattice="5.720 0.000 0.000 0.000 5.720 0.000 2.860 2.860 6.572" Properties=species:S:1:pos:R:3 pbc="T T T"
H 2.860 2.860 0.000
H 2.860 5.720 3.286
Tl 3.648 1.430 1.643
Tl 2.072 4.290 1.643
Tl 4.290 4.932 4.929
Tl 7.150 6.508 4.929
Cd 0.000 0.000 0.000
Cd 5.720 2.860 3.286
```

Computed properties:
**Theoretical density**: 8.07 g cm⁻³
**Energy**: -1.905 eV/atom
**Offset from the most stable computed form**: 0.000 eV per atom

***

[6]
Entry from Alexandria via LeMat-Bulk: an optimized crystal structure of Er6HgAs2Se3 (PBE).

Structure (extended XYZ):
```
12
Lattice="-2.228 -3.143 -1.222 5.690 -1.782 -5.788 3.856 -3.137 7.725" Properties=species:S:1:pos:R:3 pbc="T T T"
Er 6.986 -4.746 -0.527
Er 3.103 -4.208 -1.517
Er 0.332 -3.317 1.242
Er 1.472 -0.478 -1.453
Er 5.847 -7.584 2.168
Er 4.216 -3.855 2.232
Hg -1.114 -1.572 -0.611
As 4.495 -5.893 0.281
As 2.824 -2.170 0.435
Se 1.731 -2.463 -3.505
Se 1.663 -4.994 3.131
Se 5.656 -3.069 -2.416
```

Computed properties:
**Formation energy (no corrections)**: -1.4429 eV/atom
**Theoretical density**: 9.02 g cm⁻³
**Energy**: -5.395 eV/atom

***

[7]
Entry from Alexandria via LeMat-Bulk: an optimized crystal structure of ZrTi2Sb2 (PBE).

Structure (extended XYZ):
```
10
Lattice="7.099 -0.038 0.524 -1.512 6.936 0.524 -2.196 -2.711 4.134" Properties=species:S:1:pos:R:3 pbc="T T T"
Zr -1.339 5.674 1.558
Zr 4.730 -1.487 3.625
Ti 3.444 2.887 2.635
Ti 2.380 1.574 0.481
Ti 1.011 2.613 4.702
Ti -0.053 1.300 2.548
Sb 1.035 3.751 1.558
Sb 4.892 0.627 1.558
Sb -1.501 3.560 3.625
Sb 2.356 0.436 3.625
```

Computed properties:
**Formation energy (no corrections)**: -0.2682 eV/atom
**Theoretical density**: 6.39 g cm⁻³
**Energy**: -6.785 eV/atom
**Offset from the most stable computed form**: 0.202 eV per atom

***

[8]
Entry from Alexandria via LeMat-Bulk: an optimized crystal structure of BiClF2 (PBE).

Structure (extended XYZ):
```
4
Lattice="1.963 0.000 9.463 -0.981 1.700 9.463 -0.981 -1.700 9.463" Properties=species:S:1:pos:R:3 pbc="T T T"
F 0.000 0.000 26.271
F 0.000 0.000 2.119
Bi 0.000 0.000 0.000
Cl 0.000 0.000 14.195
```

Computed properties:
**Formation energy (no corrections)**: -0.7034 eV/atom
**Theoretical density**: 4.95 g cm⁻³
**Energy**: -3.071 eV/atom
**Offset from the most stable computed form**: 1.224 eV per atom

***

[9]
Entry from Alexandria via LeMat-Bulk: an optimized crystal structure of Al2CrSe (PBE).

Structure (extended XYZ):
```
4
Lattice="5.255 0.000 0.000 0.000 3.247 0.033 0.000 -0.085 4.226" Properties=species:S:1:pos:R:3 pbc="T T T"
Cr 2.627 0.790 1.065
Al 0.000 3.246 0.045
Al 0.000 1.582 2.118
Se 2.627 2.371 3.194
```

Computed properties:
**Formation energy (no corrections)**: 0.1543 eV/atom
**Theoretical density**: 4.26 g cm⁻³
**Energy**: -4.994 eV/atom
**Offset from the most stable computed form**: 0.185 eV per atom

***

[10]
Entry from Alexandria via LeMat-Bulk: an optimized crystal structure of TlFe7 (PBE).

Structure (extended XYZ):
```
8
Lattice="0.000 3.742 3.742 3.742 0.000 3.742 3.742 3.742 0.000" Properties=species:S:1:pos:R:3 pbc="T T T"
Tl 0.000 0.000 0.000
Fe 1.871 0.000 1.871
Fe 1.871 1.871 3.742
Fe 3.742 1.871 1.871
Fe 1.871 3.742 1.871
Fe 1.871 1.871 0.000
Fe 0.000 1.871 1.871
Fe 3.742 3.742 3.742
```

Computed properties:
**Theoretical density**: 9.43 g cm⁻³
**Energy**: -7.372 eV/atom

***

[11]
Entry from Alexandria via LeMat-Bulk: an optimized crystal structure of LaTbIn4 (PBE).

Structure (extended XYZ):
```
6
Lattice="-0.934 2.698 -3.820 -5.957 2.313 0.114 0.326 6.239 1.350" Properties=species:S:1:pos:R:3 pbc="T T T"
La -3.031 5.311 -1.461
Tb -0.751 1.703 -1.590
In -3.938 2.161 -0.488
In -5.805 7.075 -2.515
In -3.174 8.718 -1.997
In -0.182 4.507 0.251
```

Computed properties:
**Theoretical density**: 7.65 g cm⁻³
**Energy**: -3.875 eV/atom
**Offset from the most stable computed form**: 0.000 eV per atom

***

[12]
Entry from Alexandria via LeMat-Bulk: an optimized crystal structure of PrNd2Zn (PBE).

Structure (extended XYZ):
```
4
Lattice="-1.445 0.002 4.694 -2.218 -4.309 -0.681 4.118 -2.320 1.269" Properties=species:S:1:pos:R:3 pbc="T T T"
Pr 0.228 -3.314 2.640
Zn -0.722 0.001 2.347
Nd 2.059 -1.160 0.634
Nd -1.109 -2.155 -0.341
```

Computed properties:
**Theoretical density**: 6.98 g cm⁻³
**Energy**: -3.935 eV/atom
**Offset from the most stable computed form**: 0.112 eV per atom

***

[13]
Entry from Alexandria via LeMat-Bulk: an optimized crystal structure of Cd3NiAg (PBE).

Structure (extended XYZ):
```
20
Lattice="5.301 -0.211 -1.173 -1.480 8.422 0.311 0.021 0.351 8.549" Properties=species:S:1:pos:R:3 pbc="T T T"
Cd 2.931 1.927 0.470
Cd 3.400 7.398 5.744
Cd 0.911 6.635 7.218
Cd 0.442 1.164 1.943
Cd 3.742 5.079 -0.506
Cd 1.873 8.096 2.790
Cd 0.100 3.483 8.194
Cd 1.969 0.466 4.897
Cd 1.515 5.261 1.538
Cd -0.935 6.690 3.384
Cd 2.327 3.301 6.150
Cd 4.777 1.872 4.303
Ni 1.189 1.144 7.393
Ni 2.653 7.418 0.295
Ni -0.001 7.543 0.861
Ni 3.843 1.019 6.826
Ag -0.405 3.757 3.082
Ag 1.474 5.571 4.517
Ag 4.247 4.805 4.606
Ag 2.368 2.991 3.170
```

Computed properties:
**Theoretical density**: 8.82 g cm⁻³
**Energy**: -2.244 eV/atom
**Offset from the most stable computed form**: 0.000 eV per atom

***

[14]
Entry from Alexandria via LeMat-Bulk: an optimized crystal structure of TbDyCuRh (PBE).

Structure (extended XYZ):
```
4
Lattice="4.891 0.000 0.000 2.446 4.236 0.000 2.446 1.412 3.994" Properties=species:S:1:pos:R:3 pbc="T T T"
Rh 7.337 4.236 2.995
Tb 0.000 0.000 0.000
Cu 2.446 1.412 0.998
Dy 4.891 2.824 1.997
```

Computed properties:
**Theoretical density**: 9.79 g cm⁻³
**Energy**: -5.725 eV/atom
**Offset from the most stable computed form**: 0.025 eV per atom

***

[15]
Entry from Alexandria via LeMat-Bulk: an optimized crystal structure of LiHfTiN3 (PBE).

Structure (extended XYZ):
```
12
Lattice="3.029 0.000 0.000 0.000 6.227 0.396 0.000 -1.993 6.222" Properties=species:S:1:pos:R:3 pbc="T T T"
Li 0.757 -0.594 3.672
Li 2.272 4.828 2.945
Hf 2.272 3.463 5.094
Hf 0.757 0.771 1.524
Ti 0.757 3.821 1.332
Ti 2.272 0.413 5.286
N 0.757 3.791 3.452
N 2.272 5.310 1.184
N 2.272 2.384 1.167
N 2.272 0.443 3.165
N 0.757 1.850 5.451
N 0.757 -1.077 5.433
```

Computed properties:
**Formation energy (no corrections)**: -1.1521 eV/atom
**Theoretical density**: 7.64 g cm⁻³
**Energy**: -8.608 eV/atom

***

[16]
Entry from Alexandria via LeMat-Bulk: an optimized crystal structure of HfTlZn2 (PBE).

Structure (extended XYZ):
```
8
Lattice="7.564 0.000 0.000 0.000 7.564 0.000 3.782 3.782 2.933" Properties=species:S:1:pos:R:3 pbc="T T T"
Tl 0.000 0.000 0.000
Tl 7.564 3.782 1.466
Hf 3.782 3.782 0.000
Hf 3.782 7.564 1.466
Zn 5.695 1.891 0.733
Zn 1.869 5.673 0.733
Zn 5.673 5.651 2.199
Zn 9.455 9.477 2.199
```

Computed properties:
**Theoretical density**: 10.17 g cm⁻³
**Energy**: -3.434 eV/atom
**Offset from the most stable computed form**: 0.312 eV per atom

***

[17]
Entry from Alexandria via LeMat-Bulk: an optimized crystal structure of Li2MgTc (PBE).

Structure (extended XYZ):
```
4
Lattice="4.937 0.015 -0.009 4.243 2.524 -0.009 0.693 0.192 5.156" Properties=species:S:1:pos:R:3 pbc="T T T"
Li 9.178 2.538 0.000
Li 7.409 2.049 3.925
Mg 4.927 1.363 2.416
Tc 2.477 0.685 1.347
```

Computed properties:
**Theoretical density**: 3.54 g cm⁻³
**Energy**: -3.677 eV/atom

***

[18]
Entry from Alexandria via LeMat-Bulk: an optimized crystal structure of Ac2InHg4Pb2 (PBE).

Structure (extended XYZ):
```
9
Lattice="7.314 -0.149 -0.215 -3.641 6.345 0.215 -3.641 -2.028 6.016" Properties=species:S:1:pos:R:3 pbc="T T T"
Ac 0.016 4.177 1.558
Ac 0.016 -0.009 4.458
In 0.000 0.000 0.000
Hg -3.641 3.986 1.849
Hg -2.038 3.035 4.381
Hg -3.641 0.331 4.381
Hg 2.070 1.132 1.634
Pb -5.214 3.091 4.461
Pb -2.068 1.226 1.770
```

Computed properties:
**Theoretical density**: 10.87 g cm⁻³
**Energy**: -2.461 eV/atom

***

[19]
Entry from Alexandria via LeMat-Bulk: an optimized crystal structure of Cs2AcClO2 (PBE).

Structure (extended XYZ):
```
6
Lattice="-2.184 -4.353 -0.435 3.086 -1.189 -3.601 4.705 -2.858 4.975" Properties=species:S:1:pos:R:3 pbc="T T T"
Cs 3.948 -4.895 1.680
Cs 1.659 -3.504 -0.741
Ac 0.000 0.000 0.000
Cl 2.353 -1.429 2.488
O -1.092 -2.176 -0.217
O 1.543 -0.594 -1.801
```

Computed properties:
**Formation energy (no corrections)**: -2.1399 eV/atom
**Theoretical density**: 5.24 g cm⁻³
**Energy**: -5.070 eV/atom

***

[20]
Entry from Alexandria via LeMat-Bulk: an optimized crystal structure of ScTlMo2 (PBE).

Structure (extended XYZ):
```
4
Lattice="5.567 -0.007 0.020 -2.629 4.907 0.020 0.513 0.856 2.727" Properties=species:S:1:pos:R:3 pbc="T T T"
Mo 0.000 0.000 0.000
Mo 1.469 2.450 0.020
Sc 3.040 0.425 1.374
Tl -1.058 2.882 1.374
```

Computed properties:
**Theoretical density**: 9.86 g cm⁻³
**Energy**: -7.185 eV/atom
**Offset from the most stable computed form**: 0.341 eV per atom